No. 1
La2FeAuC: optimized geometry, GGA-PBE.

Cell and atoms, written as POSCAR:
```
La2FeAuC
1.0
5.3473 0.0000 0.0000
0.0000 5.3473 0.0000
0.0000 0.0000 3.7038
C La Fe Au
1 2 1 1
direct
0.0000 0.0000 0.0000
0.5000 0.0000 0.0000
0.0000 0.5000 0.0000
0.0000 0.0000 0.5000
0.5000 0.5000 0.5000
```

Results
Raw total energy = -32.72 eV/cell
Energy of formation = -381 meV/atom
SG = P4/mmm

No. 2
CrNiTe2H: optimized geometry, GGA-PBE.

Cell and atoms, written as POSCAR:
```
CrNiTe2H
1.0
5.2013 0.0000 0.0000
0.0000 3.2297 0.0000
0.0000 0.0000 5.2013
Te Ni Cr H
2 1 1 1
direct
0.0000 0.0000 0.5000
0.5000 0.0000 0.0000
0.0000 0.0000 0.0000
0.5000 0.5000 0.5000
0.0000 0.5000 0.0000
```

Results
Raw total energy = -24.30 eV/cell
SG = P4/mmm

No. 3
KNaNO2: optimized geometry, GGA-PBE.

Cell and atoms, written as POSCAR:
```
KNaNO2
1.0
4.7622 0.0000 0.0000
0.0000 4.7622 0.0000
0.0000 0.0000 4.6379
Na N O K
1 1 2 1
direct
0.5000 0.5000 0.5000
0.0000 0.0000 0.5000
0.0000 0.5000 0.0000
0.5000 0.0000 0.0000
0.0000 0.0000 0.0000
```

Results
Raw total energy = -13.75 eV/cell
SG = P4/mmm

No. 4
Cd2AgPd5: optimized geometry, GGA-PBE.

Cell and atoms, written as POSCAR:
```
Cd2AgPd5
1.0
-3.8699 -0.2510 1.2874
1.0389 -5.2036 2.1083
3.0217 4.6509 9.9900
Pd Cd Ag
10 4 2
direct
0.5000 0.7408 0.1243
0.0000 0.4849 0.2503
0.5000 0.2408 0.3757
0.5000 0.2592 0.8757
0.0000 0.5151 0.7497
0.0000 0.5000 0.5000
0.0000 0.0000 0.0000
0.0000 0.9849 0.2497
0.5000 0.7592 0.6243
0.0000 0.0151 0.7503
0.5000 0.7366 0.3721
0.5000 0.2366 0.1279
0.5000 0.7634 0.8721
0.5000 0.2634 0.6279
0.0000 0.5000 0.0000
0.0000 0.0000 0.5000
```

Results
Raw total energy = -65.08 eV/cell
Energy of formation = -237 meV/atom
SG = Pbam

No. 5
Pr5Pt6: optimized geometry, GGA-PBE.

Cell and atoms, written as POSCAR:
```
Pr5Pt6
1.0
-1.6475 -2.4864 -2.7062
3.3980 -2.7692 0.4757
-9.1045 -5.7948 10.8670
Pr Pt
5 6
direct
0.0000 0.0000 0.0000
0.0000 0.6170 0.2340
0.5000 0.1986 0.3973
0.5000 0.8014 0.6027
0.0000 0.3830 0.7660
0.5000 0.0984 0.1969
0.5000 0.4571 0.9141
0.5000 0.9016 0.8031
0.0000 0.2819 0.5638
0.5000 0.5429 0.0859
0.0000 0.7181 0.4362
```

Results
Raw total energy = -71.93 eV/cell
Energy of formation = -1072 meV/atom
SG = Cmmm

No. 6
KPdN2: optimized geometry, GGA-PBE.

Cell and atoms, written as POSCAR:
```
KPdN2
1.0
6.1217 0.0000 0.0000
0.0000 6.1217 0.0000
3.0608 3.0608 3.6029
Pd N K
2 4 2
direct
0.0000 0.0000 0.0000
0.7500 0.2500 0.5000
0.7415 0.1250 0.2500
0.0085 0.6250 0.2500
0.8750 0.9915 0.7500
0.3750 0.2585 0.7500
0.2500 0.7500 0.5000
0.5000 0.5000 0.0000
```

Results
Raw total energy = -39.22 eV/cell
Distance to the lowest polymorph of the same formula = 0.791 eV per atom
SG = I-42d

No. 7
Zr4Mn2Cd: optimized geometry, GGA-PBE.

Cell and atoms, written as POSCAR:
```
Zr4Mn2Cd
1.0
5.2577 0.0000 0.0000
0.0000 5.2577 0.0000
2.6288 2.6288 6.0816
Cd Zr Mn
1 4 2
direct
0.0000 0.0000 0.0000
0.7740 0.7740 0.4520
0.2260 0.2260 0.5480
0.0000 0.5000 0.0000
0.5000 0.0000 0.0000
0.4150 0.4150 0.1701
0.5850 0.5850 0.8299
```

Results
Raw total energy = -46.74 eV/cell
Energy of formation = 958 meV/atom
SG = I4/mmm

No. 8
Te2Pd2Pt: optimized geometry, GGA-PBE.

Cell and atoms, written as POSCAR:
```
Te2Pd2Pt
1.0
5.5287 0.0004 -0.0052
0.0005 6.6000 0.0000
-2.7706 -3.3002 5.5945
Pd Pt Te
4 2 4
direct
0.1093 0.7484 0.2174
0.8907 0.2516 0.7826
0.3907 0.5311 0.7826
0.6093 0.4689 0.2174
0.7500 0.9993 0.0000
0.2500 0.0007 0.0000
0.1497 0.3952 0.3003
0.8503 0.6048 0.6997
0.6497 0.9051 0.3003
0.3503 0.0949 0.6997
```

Results
Raw total energy = -48.37 eV/cell
SG = C2/c

No. 9
TeRhW2: optimized geometry, GGA-PBE.

Cell and atoms, written as POSCAR:
```
TeRhW2
1.0
-0.7530 0.2919 4.5249
-1.9364 3.7748 1.7688
-4.2941 -0.1685 1.6309
Rh Te W
1 1 2
direct
0.5000 0.5000 0.5000
0.2500 0.2500 0.2500
0.0000 0.0000 0.0000
0.7500 0.7500 0.7500
```

Results
Raw total energy = -33.76 eV/cell
SG = F-43m

No. 10
MoOs2: optimized geometry, GGA-PBE.

Cell and atoms, written as POSCAR:
```
MoOs2
1.0
-0.7601 -1.9922 3.2488
0.0968 -3.3218 -2.0143
11.9054 1.7058 1.5073
Mo Os
4 8
direct
0.0804 0.0804 0.1609
0.3304 0.8304 0.6609
0.1696 0.6696 0.3391
0.9196 0.9196 0.8391
0.4179 0.4179 0.8357
0.0009 0.5009 0.0018
0.6679 0.1679 0.3357
0.2491 0.2491 0.4982
0.4991 0.9991 0.9982
0.8321 0.3321 0.6643
0.5821 0.5821 0.1643
0.7509 0.7509 0.5018
```

Results
Raw total energy = -132.62 eV/cell
Energy of formation = 45 meV/atom
Distance to the lowest polymorph of the same formula = 0.064 eV per atom
SG = I4_1/amd

No. 11
CsAcAg2Cl8: optimized geometry, GGA-PBE.

Cell and atoms, written as POSCAR:
```
CsAcAg2Cl8
1.0
7.0551 0.0000 0.0000
0.0000 7.0551 0.0000
-3.5275 -3.5275 7.8155
Cl Cs Ag Ac
8 1 2 1
direct
0.6959 0.8716 0.1806
0.3502 0.9856 0.3938
0.5918 0.6498 0.6062
0.0436 0.4082 0.3938
0.0144 0.9564 0.6062
0.1284 0.5153 0.8194
0.4847 0.3090 0.1806
0.6910 0.3041 0.8194
0.0000 0.0000 0.0000
0.5000 0.5000 0.0000
0.2500 0.7500 0.5000
0.7500 0.2500 0.5000
```

Results
Raw total energy = -40.28 eV/cell
SG = I-4

No. 12
LaY2HoTm: optimized geometry, GGA-PBE.

Cell and atoms, written as POSCAR:
```
LaY2HoTm
1.0
7.2524 0.0000 0.0000
0.0000 8.4442 0.0000
0.0000 -4.2221 5.7506
Y La Tm Ho
4 2 2 2
direct
0.0000 0.3090 0.0000
0.5000 0.6910 0.0000
0.5000 0.3090 0.0000
0.0000 0.6910 0.0000
0.2500 0.7348 0.4697
0.7500 0.2652 0.5303
0.2500 0.2805 0.5610
0.7500 0.7195 0.4390
0.2500 0.0019 0.0037
0.7500 0.9981 0.9963
```

Results
Raw total energy = -50.13 eV/cell
Energy of formation = 368 meV/atom
SG = Cmcm

N(E_F) (computed, states/eV per atom): 0.6549; 0.4388; 2.7141; 0.9594; 0.6658; 0.5639; 1.1413; 0.7353; 1.1794; 0.7772; 1.1942; 1.4380